1.
Entry from Alexandria via LeMat-Bulk: a relaxed BaCuTc4 crystal (PBE). Values from VASP.

Properties
Electronic total energy (eV per formula unit): -42.06

The structure in Quantum ESPRESSO input format:
```
&SYSTEM
  ibrav = 0, nat = 6, ntyp = 3
/
ATOMIC_SPECIES
Ba 137.33 Ba.upf
Cu 63.55 Cu.upf
Tc 98.00 Tc.upf
ATOMIC_POSITIONS crystal
Ba 0.0000 0.0000 0.0000
Cu 0.7500 0.7500 0.7500
Tc 0.3756 0.3756 0.3756
Tc 0.3756 0.3756 0.8732
Tc 0.3756 0.8732 0.3756
Tc 0.8732 0.3756 0.3756
CELL_PARAMETERS angstrom
0.0000 3.8099 3.8099
3.8099 0.0000 3.8099
3.8099 3.8099 0.0000
```


2.
Entry from Alexandria via LeMat-Bulk: a relaxed BaCu2Tc crystal (PBE). Values from VASP.

Properties
Electronic total energy (eV per formula unit): -16.71
Distance to the lowest polymorph of the same formula (eV per atom): 0.589

The structure in Quantum ESPRESSO input format:
```
&SYSTEM
  ibrav = 0, nat = 4, ntyp = 3
/
ATOMIC_SPECIES
Ba 137.33 Ba.upf
Cu 63.55 Cu.upf
Tc 98.00 Tc.upf
ATOMIC_POSITIONS crystal
Ba 0.0000 0.0000 0.0000
Cu 0.2338 0.2338 0.2338
Cu 0.7662 0.7662 0.7662
Tc 0.5000 0.5000 0.5000
CELL_PARAMETERS angstrom
1.5461 0.8926 9.2921
-1.5461 0.8926 9.2921
0.0000 -1.7852 9.2921
```


3.
Entry from Alexandria via LeMat-Bulk: a relaxed BaCuTc2 crystal (PBE). Values from VASP.

Properties
Electronic total energy (eV per formula unit): -21.74
Distance to the lowest polymorph of the same formula (eV per atom): 0.892

The structure in Quantum ESPRESSO input format:
```
&SYSTEM
  ibrav = 0, nat = 4, ntyp = 3
/
ATOMIC_SPECIES
Ba 137.33 Ba.upf
Cu 63.55 Cu.upf
Tc 98.00 Tc.upf
ATOMIC_POSITIONS crystal
Ba 0.0000 0.0000 0.0000
Cu 0.5000 0.5000 0.0000
Tc 0.2500 0.7500 0.5000
Tc 0.7500 0.2500 0.5000
CELL_PARAMETERS angstrom
-1.9671 1.9671 5.1740
1.9671 -1.9671 5.1740
1.9671 1.9671 -5.1740
```


4.
Entry from Alexandria via LeMat-Bulk: a relaxed BaCuTc2 crystal (PBE). Values from VASP.

Properties
Electronic total energy (eV per formula unit): -25.31
Distance to the lowest polymorph of the same formula (eV per atom): 0.000

The structure in Quantum ESPRESSO input format:
```
&SYSTEM
  ibrav = 0, nat = 4, ntyp = 3
/
ATOMIC_SPECIES
Ba 137.33 Ba.upf
Cu 63.55 Cu.upf
Tc 98.00 Tc.upf
ATOMIC_POSITIONS crystal
Ba 0.0000 0.0000 0.0000
Cu 0.1994 0.1994 0.5995
Tc 0.4854 0.4854 0.4567
Tc 0.8085 0.8085 0.4261
CELL_PARAMETERS angstrom
3.6971 -2.1343 0.0000
3.6971 2.1343 0.0000
-2.4528 0.0000 6.0608
```


5.
Entry from Alexandria via LeMat-Bulk: a relaxed BaCuTc2 crystal (PBE). Values from VASP.

Properties
Electronic total energy (eV per formula unit): -23.96
Distance to the lowest polymorph of the same formula (eV per atom): 0.335

The structure in Quantum ESPRESSO input format:
```
&SYSTEM
  ibrav = 0, nat = 4, ntyp = 3
/
ATOMIC_SPECIES
Ba 137.33 Ba.upf
Cu 63.55 Cu.upf
Tc 98.00 Tc.upf
ATOMIC_POSITIONS crystal
Ba 0.0000 0.0000 0.0000
Cu 0.5000 0.0000 0.5000
Tc 0.2856 0.5000 0.6197
Tc 0.7144 0.5000 0.3803
CELL_PARAMETERS angstrom
3.8316 0.0000 0.0000
0.0000 4.5884 0.0000
-1.3261 0.0000 5.5176
```


6.
Entry from Alexandria via LeMat-Bulk: a relaxed BaTlCu2Tc crystal (PBE). Values from VASP.

Properties
Electronic total energy (eV per formula unit): -20.55

The structure in Quantum ESPRESSO input format:
```
&SYSTEM
  ibrav = 0, nat = 5, ntyp = 4
/
ATOMIC_SPECIES
Ba 137.33 Ba.upf
Tl 204.38 Tl.upf
Cu 63.55 Cu.upf
Tc 98.00 Tc.upf
ATOMIC_POSITIONS crystal
Ba 0.0000 0.0000 0.0000
Tl 0.5000 0.5000 0.0000
Cu 0.0000 0.5000 0.5000
Cu 0.5000 0.0000 0.5000
Tc 0.5000 0.5000 0.5000
CELL_PARAMETERS angstrom
4.9431 0.0000 0.0000
0.0000 4.9431 0.0000
0.0000 0.0000 5.2336
```


7.
Entry from Alexandria via LeMat-Bulk: a relaxed Ba2YCuTc crystal (PBE). Values from VASP.

Properties
Electronic total energy (eV per formula unit): -21.85

The structure in Quantum ESPRESSO input format:
```
&SYSTEM
  ibrav = 0, nat = 5, ntyp = 4
/
ATOMIC_SPECIES
Ba 137.33 Ba.upf
Y 88.91 Y.upf
Cu 63.55 Cu.upf
Tc 98.00 Tc.upf
ATOMIC_POSITIONS crystal
Ba 0.0000 0.5000 0.0000
Ba 0.5000 0.0000 0.0000
Y 0.0000 0.0000 0.5000
Cu 0.5000 0.5000 0.5000
Tc 0.0000 0.0000 0.0000
CELL_PARAMETERS angstrom
5.9106 0.0000 0.0000
0.0000 5.9106 0.0000
0.0000 0.0000 5.2596
```


8.
Entry from Alexandria via LeMat-Bulk: a relaxed BaCuTe crystal (PBE). Values from VASP.

Properties
Electronic total energy (eV per formula unit): -10.82
Distance to the lowest polymorph of the same formula (eV per atom): 0.182

The structure in Quantum ESPRESSO input format:
```
&SYSTEM
  ibrav = 0, nat = 3, ntyp = 3
/
ATOMIC_SPECIES
Ba 137.33 Ba.upf
Cu 63.55 Cu.upf
Te 127.60 Te.upf
ATOMIC_POSITIONS crystal
Ba 0.0000 0.0000 0.0000
Cu 0.2500 0.2500 0.2500
Te 0.5000 0.5000 0.5000
CELL_PARAMETERS angstrom
0.0000 3.6026 3.6026
3.6026 0.0000 3.6026
3.6026 3.6026 0.0000
```


9.
Entry from Alexandria via LeMat-Bulk: a relaxed BaCuTe2 crystal (PBE). Values from VASP.

Properties
Electronic total energy (eV per formula unit): -13.67

The structure in Quantum ESPRESSO input format:
```
&SYSTEM
  ibrav = 0, nat = 4, ntyp = 3
/
ATOMIC_SPECIES
Ba 137.33 Ba.upf
Cu 63.55 Cu.upf
Te 127.60 Te.upf
ATOMIC_POSITIONS crystal
Ba 0.0000 0.0000 0.0000
Cu 0.2500 0.7500 0.5000
Te 0.5000 0.5000 0.0000
Te 0.7500 0.2500 0.5000
CELL_PARAMETERS angstrom
-2.3448 2.3448 5.5854
2.3448 -2.3448 5.5854
2.3448 2.3448 -5.5854
```


10.
Entry from Alexandria via LeMat-Bulk: a relaxed BaCuTe2 crystal (PBE). Values from VASP.

Properties
Electronic total energy (eV per formula unit): -13.57

The structure in Quantum ESPRESSO input format:
```
&SYSTEM
  ibrav = 0, nat = 4, ntyp = 3
/
ATOMIC_SPECIES
Ba 137.33 Ba.upf
Cu 63.55 Cu.upf
Te 127.60 Te.upf
ATOMIC_POSITIONS crystal
Ba 0.0000 0.0000 0.0000
Cu 0.5000 0.5000 0.0000
Te 0.2500 0.7500 0.5000
Te 0.7500 0.2500 0.5000
CELL_PARAMETERS angstrom
-2.3456 2.3456 5.4296
2.3456 -2.3456 5.4296
2.3456 2.3456 -5.4296
```


11.
Entry from Alexandria via LeMat-Bulk: a relaxed BaCu3Te3 crystal (PBE). Values from VASP.

Properties
Electronic total energy (eV per formula unit): -27.25
Distance to the lowest polymorph of the same formula (eV per atom): 0.000

The structure in Quantum ESPRESSO input format:
```
&SYSTEM
  ibrav = 0, nat = 14, ntyp = 3
/
ATOMIC_SPECIES
Ba 137.33 Ba.upf
Cu 63.55 Cu.upf
Te 127.60 Te.upf
ATOMIC_POSITIONS crystal
Ba 0.3333 0.6667 0.2500
Ba 0.6667 0.3333 0.7500
Cu 0.0572 0.6377 0.7500
Cu 0.3623 0.4195 0.7500
Cu 0.4195 0.0572 0.2500
Cu 0.5805 0.9428 0.7500
Cu 0.6377 0.5805 0.2500
Cu 0.9428 0.3623 0.2500
Te 0.0848 0.3847 0.7500
Te 0.2999 0.9152 0.7500
Te 0.3847 0.2999 0.2500
Te 0.6153 0.7001 0.7500
Te 0.7001 0.0848 0.2500
Te 0.9152 0.6153 0.2500
CELL_PARAMETERS angstrom
10.1184 0.0000 0.0000
-5.0592 8.7628 0.0000
0.0000 0.0000 4.5429
```


12.
Entry from Alexandria via LeMat-Bulk: a relaxed BaCu2Te2 crystal (PBE). Values from VASP.

Properties
Electronic total energy (eV per formula unit): -19.73

The structure in Quantum ESPRESSO input format:
```
&SYSTEM
  ibrav = 0, nat = 10, ntyp = 3
/
ATOMIC_SPECIES
Ba 137.33 Ba.upf
Cu 63.55 Cu.upf
Te 127.60 Te.upf
ATOMIC_POSITIONS crystal
Ba 0.1252 0.8748 0.7500
Ba 0.8748 0.1252 0.2500
Cu 0.2574 0.5084 0.0151
Cu 0.4916 0.7426 0.4849
Cu 0.5084 0.2574 0.5151
Cu 0.7426 0.4916 0.9849
Te 0.1728 0.8272 0.2500
Te 0.4234 0.5766 0.7500
Te 0.5766 0.4234 0.2500
Te 0.8272 0.1728 0.7500
CELL_PARAMETERS angstrom
4.3361 -5.8082 0.0000
4.3361 5.8082 0.0000
-4.3340 0.0000 5.5366
```


13.
Entry from Alexandria via LeMat-Bulk: a relaxed BaCuTe2 crystal (PBE). Values from VASP.

Properties
Electronic total energy (eV per formula unit): -13.70

The structure in Quantum ESPRESSO input format:
```
&SYSTEM
  ibrav = 0, nat = 4, ntyp = 3
/
ATOMIC_SPECIES
Ba 137.33 Ba.upf
Cu 63.55 Cu.upf
Te 127.60 Te.upf
ATOMIC_POSITIONS crystal
Ba 0.0000 0.0000 0.0000
Cu 0.0000 0.0000 0.5000
Te 0.5000 0.5000 0.2747
Te 0.5000 0.5000 0.7253
CELL_PARAMETERS angstrom
4.2474 0.0000 0.0000
0.0000 4.2474 0.0000
0.0000 0.0000 6.8421
```


14.
Entry from Alexandria via LeMat-Bulk: a relaxed BaCuTe2 crystal (PBE). Values from VASP.

Properties
Electronic total energy (eV per formula unit): -13.91

The structure in Quantum ESPRESSO input format:
```
&SYSTEM
  ibrav = 0, nat = 4, ntyp = 3
/
ATOMIC_SPECIES
Ba 137.33 Ba.upf
Cu 63.55 Cu.upf
Te 127.60 Te.upf
ATOMIC_POSITIONS crystal
Ba 0.0000 0.0000 0.0000
Cu 0.5000 0.5000 0.0000
Te 0.0000 0.5000 0.5000
Te 0.5000 0.0000 0.5000
CELL_PARAMETERS angstrom
5.2648 0.0000 0.0000
0.0000 5.2648 0.0000
0.0000 0.0000 4.3841
```


15.
Entry from Alexandria via LeMat-Bulk: a relaxed BaCuTe2 crystal (PBE). Values from VASP.

Properties
Electronic total energy (eV per formula unit): -13.99

The structure in Quantum ESPRESSO input format:
```
&SYSTEM
  ibrav = 0, nat = 4, ntyp = 3
/
ATOMIC_SPECIES
Ba 137.33 Ba.upf
Cu 63.55 Cu.upf
Te 127.60 Te.upf
ATOMIC_POSITIONS crystal
Ba 0.0000 0.0000 0.0000
Cu 0.5000 0.5000 0.0000
Te 0.0000 0.5000 0.5000
Te 0.5000 0.0000 0.5000
CELL_PARAMETERS angstrom
3.3954 -4.0834 0.0000
3.3954 4.0834 0.0000
-0.0115 0.0000 4.4084
```